The following is a DFT calculation (PBE+U) of a relaxed Na3MgCr3O8 crystal.

a = 5.9972 Å, b = 5.9614 Å, c = 6.4496 Å
α = 117.61°, β = 90.00°, γ = 120.20°
Last column: nearest neighbours and their distance in Å.
Atoms (fractional coordinates):
O 0.7162 0.9416 0.6863  2 Cr 1.92-2.02, 1 Mg 2.06
O 0.7746 0.0584 0.3137  2 Cr 1.92-2.02, 1 Mg 2.06
O 0.7349 0.4698 0.7012  3 Cr 2.04
O 0.2254 0.9416 0.6863  2 Cr 1.92-2.02, 1 Mg 2.06
O 0.7617 0.5233 0.3122  2 Cr 1.97, 1 Mg 2.08
O 0.2383 0.4767 0.6878  2 Cr 1.97, 1 Mg 2.08
O 0.2651 0.5302 0.2988  3 Cr 2.04
O 0.2838 0.0584 0.3137  2 Cr 1.92-2.02, 1 Mg 2.06
Cr 0.5000 0.5000 0.5000  6 O 1.92-2.04
Cr 0.0000 0.5000 0.5000  6 O 1.92-2.04
Cr 0.5000 0.0000 0.5000  6 O 2.02-2.04
Mg 0.0000 0.0000 0.5000  6 O 2.06-2.08
Na 0.0000 0.5000 0.0000  6 O 2.38-2.48
Na 0.0000 0.0000 0.0000  6 O 2.35-2.42
Na 0.5000 0.5000 0.0000  6 O 2.38-2.48

Summary:
M_tot	7.0	μB per formula unit
SG	C2/m
final energy	-6.37	eV per atom